RbNaGa2Sb2 | PBE | optimized geometry

Computed properties:
formation energy from raw total energies: -196 meV/atom

a b c (Å): 4.4661 4.4661 11.0509
angles (deg): 90.00 90.00 120.00
Last column: nearest neighbours and their distance in Å.
Atoms (fractional coordinates):
Rb 0.0000 0.0000 0.0000  6 Ga 3.58
Na 0.0000 0.0000 0.5000  6 Sb 3.32
Ga 0.6667 0.3333 0.2251  3 Sb 2.74
Ga 0.3333 0.6667 0.7749  3 Sb 2.74
Sb 0.6667 0.3333 0.6899  3 Ga 2.74
Sb 0.3333 0.6667 0.3101  3 Ga 2.74

=====

RbNaGaSe2 | PBE | optimized geometry

Computed properties:
formation energy from raw total energies: -129 meV/atom

a b c (Å): 5.4358 5.3400 5.4358
angles (deg): 90.00 90.00 90.00
Last column: nearest neighbours and their distance in Å.
Atoms (fractional coordinates):
Na 0.0000 0.0000 0.0000  2 Rb 2.67, 4 Se 2.72
Ga 0.5000 0.5000 0.5000  8 Se 3.81, 4 Rb 3.84
Se 0.0000 0.0000 0.5000  2 Na 2.72
Se 0.5000 0.0000 0.0000  2 Na 2.72
Rb 0.0000 0.5000 0.0000  2 Na 2.67

=====

Rb2Na4GaSn2 | PBE | optimized geometry

Computed properties:
energy relative to the elements: -0.090 eV per atom

a b c (Å): 5.7056 8.3410 8.3410
angles (deg): 57.91 76.38 76.38
Last column: nearest neighbours and their distance in Å.
Atoms (fractional coordinates):
Rb 0.3217 0.6329 0.6329  6 Na 3.68-3.73, 4 Sn 3.78-4.10, 1 Rb 3.87
Rb 0.6783 0.3671 0.3671  6 Na 3.68-3.73, 4 Sn 3.78-4.10, 1 Rb 3.87
Na 0.1754 0.6610 0.0721  1 Na 3.32, 3 Sn 3.35-3.52, 1 Ga 3.45, 2 Rb 3.68-3.70
Na 0.8246 0.9279 0.3390  1 Na 3.32, 3 Sn 3.35-3.52, 1 Ga 3.45, 2 Rb 3.68-3.70
Na 0.8246 0.3390 0.9279  1 Na 3.32, 3 Sn 3.35-3.52, 1 Ga 3.45, 2 Rb 3.68-3.70
Na 0.1754 0.0721 0.6610  1 Na 3.32, 3 Sn 3.35-3.52, 1 Ga 3.45, 2 Rb 3.68-3.70
Ga 0.5000 0.0000 0.0000  2 Sn 2.61
Sn 0.2859 0.1822 0.1822  1 Ga 2.61
Sn 0.7141 0.8178 0.8178  1 Ga 2.61

=====

| no. | magnetic moment (μB/cell) | N(E_F) (states/eV/atom) |
| --- | --- | --- |
| 1 | 0.00 | 0.559 |
| 2 | 0.00 | 0.702 |
| 3 | 0.91 | 0.249 |